KMgCl2 | the Alexandria database | GGA-PBE | relaxed; calculated total energy = -11.7 eV/cell; SG = P4mm, No. 99; uncorrected formation energy = -1.3305 eV per atom; energy relative to the lowest polymorph listed for this composition = 51 meV per atom
1.0
4.147 -0.019 0.000
0.021 4.147 0.000
0.000 0.000 6.821
Cl K Mg
2 1 1
direct
0.000 0.000 0.899
0.500 0.500 0.266
0.000 0.000 0.427
0.500 0.500 0.908